Below is crystalline RbPaCo2Cl8 at its relaxed geometry, with properties calculated at the PBE-GGA level.

POSCAR file:
```
RbPaCo2Cl8
1.0
3.206 1.851 10.422
-3.206 1.851 10.422
0.000 -3.702 10.422
Rb Pa Co Cl
1 1 2 8
Cartesian
0.000 0.000 0.000
0.000 0.000 15.633
0.000 0.000 7.775
0.000 0.000 23.491
-2.139 -0.035 14.053
-1.039 -1.870 17.213
0.000 0.000 9.962
1.100 -1.835 14.053
-1.100 1.835 17.213
0.000 0.000 21.304
1.039 1.870 14.053
2.139 0.035 17.213
```

The value obtained for the energy relative to the elements, uncorrected is -1.22 eV per atom. As for the magnetization: 4.00 μB/f.u.